# Si7Se

An optimized crystal structure of Si7Se (GGA-PBE, Alexandria via LeMat-Bulk).

Unit cell a=5.626 b=5.626 c=5.626 alpha=60.00 beta=60.00 gamma=60.00
Sites, in units of the cell vectors:
Si: 0.500 0.500 0.000
Si: 0.500 0.000 0.500
Si: 0.500 0.000 0.000
Si: 0.000 0.000 0.500
Si: 0.000 0.500 0.000
Si: 0.000 0.500 0.500
Si: 0.500 0.500 0.500
Se: 0.000 0.000 0.000

## Properties
The calculated volume comes out at 15.74 A^3/atom. The calculation puts the formation energy from raw total energies at 0.644 eV/atom. As for the density of states at the Fermi level: 5.395 states/eV/cell.